# NpMnO5 (GGA+U, optimized geometry)
data_NpMnO5
_chemical_formula_sum 'Np2 Mn2 O10'
_space_group_name_H-M_alt 'P 1'
_space_group_IT_number 1
_cell_length_a 7.228
_cell_length_b 7.731
_cell_length_c 4.150
_cell_angle_alpha 90.00
_cell_angle_beta 112.71
_cell_angle_gamma 90.00
loop_
_space_group_symop_operation_xyz
'x,y,z'
loop_
_atom_site_label
_atom_site_type_symbol
_atom_site_fract_x
_atom_site_fract_y
_atom_site_fract_z
_atom_site_occupancy
Np1 Np 0.000 0.000 0.000 1
Np2 Np 0.500 0.500 0.000 1
Mn1 Mn 0.000 0.500 0.000 1
Mn2 Mn 0.500 0.000 0.000 1
O1 O 0.000 0.000 0.500 1
O2 O 0.000 0.254 0.000 1
O3 O 0.000 0.746 0.000 1
O4 O 0.200 0.500 0.801 1
O5 O 0.300 0.000 0.199 1
O6 O 0.500 0.246 0.000 1
O7 O 0.500 0.500 0.500 1
O8 O 0.500 0.754 0.000 1
O9 O 0.700 0.000 0.801 1
O10 O 0.800 0.500 0.199 1
# - E_tot: -8.508 eV per atom
# - Space-group type: C2/m
# - Volume: 15.279 A^3/atom